No. 1
# Th3HgC2 PBE optimized geometry
# total DFT energy (no corrections) = -6.9265 eV per atom
# crystal system = monoclinic
# energy relative to the elements = -0.09 eV per atom
# E above lowest polymorph = 11 meV/atom
# calculated volume = 26.1 A^3/atom
# total magnetic moment = 0.0 Bohr magnetons per cell
data_Th3HgC2
_chemical_formula_sum 'Th6 Hg2 C4'
_cell_length_a 4.060
_cell_length_b 5.801
_cell_length_c 14.852
_cell_angle_alpha 116.59
_cell_angle_beta 90.00
_cell_angle_gamma 90.00
_symmetry_space_group_name_H-M 'P 1'
_symmetry_Int_Tables_number 1
_symmetry_space_group_name_Hall 'P 1'
loop_
_atom_site_label
_atom_site_type_symbol
_atom_site_fract_x
_atom_site_fract_y
_atom_site_fract_z
Th1 Th 0.250 0.077 0.743
Th2 Th 0.750 0.722 0.474
Th3 Th 0.250 0.345 0.058
Th4 Th 0.750 0.655 0.942
Th5 Th 0.250 0.278 0.526
Th6 Th 0.750 0.923 0.257
C1 C 0.750 0.585 0.089
C2 C 0.250 0.415 0.911
C3 C 0.250 0.913 0.563
C4 C 0.750 0.087 0.437
Hg1 Hg 0.750 0.595 0.717
Hg2 Hg 0.250 0.405 0.283



No. 2
# Th3Hg2C PBE optimized geometry
# total DFT energy (no corrections) = -5.6616 eV per atom
# crystal system = orthorhombic
# energy relative to the elements = -0.31 eV per atom
# E above lowest polymorph = 0 meV/atom
# calculated volume = 25.5 A^3/atom
# total magnetic moment = 0.0 Bohr magnetons per cell
data_Th3Hg2C
_chemical_formula_sum 'Th6 Hg4 C2'
_cell_length_a 5.121
_cell_length_b 7.370
_cell_length_c 8.506
_cell_angle_alpha 90.00
_cell_angle_beta 72.48
_cell_angle_gamma 90.00
_symmetry_space_group_name_H-M 'P 1'
_symmetry_Int_Tables_number 1
_symmetry_space_group_name_Hall 'P 1'
loop_
_atom_site_label
_atom_site_type_symbol
_atom_site_fract_x
_atom_site_fract_y
_atom_site_fract_z
Th1 Th 0.500 0.750 0.000
Th2 Th 0.111 0.500 0.778
Th3 Th 0.889 0.500 0.222
Th4 Th 0.500 0.250 0.000
Th5 Th 0.111 0.000 0.778
Th6 Th 0.889 0.000 0.222
Hg1 Hg 0.698 0.250 0.604
Hg2 Hg 0.302 0.250 0.396
Hg3 Hg 0.698 0.750 0.604
Hg4 Hg 0.302 0.750 0.396
C1 C 0.000 0.250 0.000
C2 C 0.000 0.750 0.000



- Look up the calculated volume of the second one.
  25.5 A^3/atom



- calculated volume of number 2 (Th3Hg2C)?
  25.5 A^3/atom



- Among the records above, which one has the highest energy relative to the elements?
  Th3HgC2



- Look up the calculated volume of the second one.
  25.5 A^3/atom